Computed, not measured: a geometry-optimized V3GaS structure at the PBE level of DFT.

Unit cell a=4.282 b=4.282 c=4.282 alpha=90.00 beta=90.00 gamma=90.00
Fractional positions:
1 V 0.000 0.000 0.500
2 V 0.000 0.500 0.000
3 V 0.500 0.000 0.000
4 Ga 0.500 0.500 0.500
5 S 0.000 0.000 0.000

Summary:
ΔE to the lowest computed polymorph: 0 kJ/mol of formula units
calculated volume: 79 Å³/cell
DOS at the Fermi energy: 0.83 states/eV/atom
raw formation energy: 0.012 eV/atom
total magnetic moment: 2.3 μB/cell

***

Computed, not measured: a geometry-optimized LiSmCd3 structure at the PBE level of DFT.

Unit cell a=6.658 b=6.658 c=6.286 alpha=90.00 beta=90.00 gamma=122.37
Fractional positions:
1 Li 0.115 0.885 0.750
2 Li 0.885 0.115 0.250
3 Sm 0.234 0.766 0.250
4 Sm 0.766 0.234 0.750
5 Cd 0.261 0.261 0.000
6 Cd 0.261 0.261 0.500
7 Cd 0.333 0.667 0.750
8 Cd 0.667 0.333 0.250
9 Cd 0.739 0.739 0.000
10 Cd 0.739 0.739 0.500

Summary:
ΔE to the lowest computed polymorph: 19 kJ/mol of formula units
calculated volume: 235 Å³/cell
DOS at the Fermi energy: 0.72 states/eV/atom
energy of formation from the pure elements: -0.185 eV/atom
total magnetic moment: 0.0 μB/cell

***

Computed, not measured: a geometry-optimized LiMg2Cr structure at the PBE level of DFT.

Unit cell a=6.798 b=6.798 c=6.798 alpha=90.00 beta=90.00 gamma=90.00
Fractional positions:
1 Li 0.000 0.000 0.000
2 Li 0.000 0.500 0.500
3 Li 0.500 0.000 0.500
4 Li 0.500 0.500 0.000
5 Mg 0.000 0.000 0.500
6 Mg 0.000 0.500 0.000
7 Mg 0.250 0.250 0.750
8 Mg 0.250 0.750 0.250
9 Mg 0.500 0.000 0.000
10 Mg 0.500 0.500 0.500
11 Mg 0.750 0.250 0.250
12 Mg 0.750 0.750 0.750
13 Cr 0.250 0.250 0.250
14 Cr 0.250 0.750 0.750
15 Cr 0.750 0.250 0.750
16 Cr 0.750 0.750 0.250

Summary:
calculated volume: 314 Å³/cell
DOS at the Fermi energy: 0.58 states/eV/atom
energy of formation from the pure elements: 0.292 eV/atom
total magnetic moment: 17.3 μB/cell

***

Computed, not measured: a geometry-optimized LiZrPd2 structure at the PBE level of DFT.

Unit cell a=6.436 b=6.436 c=6.436 alpha=90.00 beta=90.00 gamma=90.00
Fractional positions:
1 Li 0.000 0.000 0.000
2 Li 0.000 0.500 0.500
3 Li 0.500 0.000 0.500
4 Li 0.500 0.500 0.000
5 Zr 0.000 0.000 0.500
6 Zr 0.000 0.500 0.000
7 Zr 0.500 0.000 0.000
8 Zr 0.500 0.500 0.500
9 Pd 0.250 0.250 0.250
10 Pd 0.250 0.250 0.750
11 Pd 0.250 0.750 0.250
12 Pd 0.250 0.750 0.750
13 Pd 0.750 0.250 0.250
14 Pd 0.750 0.250 0.750
15 Pd 0.750 0.750 0.250
16 Pd 0.750 0.750 0.750

Summary:
calculated volume: 267 Å³/cell
DOS at the Fermi energy: 1.01 states/eV/atom
energy of formation from the pure elements: -0.572 eV/atom
total magnetic moment: 0.0 μB/cell

***

Computed, not measured: a geometry-optimized BeCoRe2Pt structure at the PBE level of DFT.

Unit cell a=4.762 b=4.762 c=4.561 alpha=90.00 beta=90.00 gamma=90.00
Fractional positions:
1 Be 0.000 0.000 0.000
2 Co 0.500 0.500 0.000
3 Re 0.000 0.500 0.500
4 Re 0.500 0.000 0.500
5 Pt 0.500 0.500 0.500

Summary:
calculated volume: 103 Å³/cell
DOS at the Fermi energy: 1.08 states/eV/atom
energy of formation from the pure elements: 2.343 eV/atom
total magnetic moment: 4.5 μB/cell

***

Computed, not measured: a geometry-optimized Sr2AgPd structure at the PBE level of DFT.

Unit cell a=8.297 b=8.297 c=7.357 alpha=90.00 beta=90.00 gamma=90.00
Fractional positions:
1 Sr 0.229 0.250 0.125
2 Sr 0.250 0.729 0.375
3 Sr 0.250 0.771 0.875
4 Sr 0.271 0.250 0.625
5 Sr 0.729 0.750 0.625
6 Sr 0.750 0.229 0.875
7 Sr 0.750 0.271 0.375
8 Sr 0.771 0.750 0.125
9 Ag 0.000 0.000 0.500
10 Ag 0.000 0.500 0.750
11 Ag 0.500 0.000 0.250
12 Ag 0.500 0.500 0.000
13 Pd 0.000 0.000 0.000
14 Pd 0.000 0.500 0.250
15 Pd 0.500 0.000 0.750
16 Pd 0.500 0.500 0.500

Summary:
calculated volume: 507 Å³/cell
DOS at the Fermi energy: 0.56 states/eV/atom
energy of formation from the pure elements: -0.160 eV/atom
total magnetic moment: 0.0 μB/cell

***

Computed, not measured: a geometry-optimized NdDy2Au2 structure at the PBE level of DFT.

Unit cell a=6.938 b=6.933 c=6.733 alpha=90.00 beta=120.49 gamma=90.00
Fractional positions:
1 Nd 0.000 0.000 0.000
2 Nd 0.500 0.500 0.000
3 Dy 0.000 0.250 0.500
4 Dy 0.000 0.750 0.500
5 Dy 0.500 0.250 0.500
6 Dy 0.500 0.750 0.500
7 Au 0.119 0.500 0.232
8 Au 0.381 0.000 0.768
9 Au 0.619 0.000 0.232
10 Au 0.881 0.500 0.768

Summary:
ΔE to the lowest computed polymorph: 66 kJ/mol of formula units
calculated volume: 279 Å³/cell
DOS at the Fermi energy: 0.96 states/eV/atom
energy of formation from the pure elements: -0.542 eV/atom
total magnetic moment: 0.0 μB/cell

***

Computed, not measured: a geometry-optimized Cs2TmH4 structure at the PBE level of DFT.

Unit cell a=4.381 b=4.381 c=16.009 alpha=90.00 beta=90.00 gamma=90.00
Fractional positions:
1 Cs 0.000 0.000 0.155
2 Cs 0.000 0.000 0.845
3 Cs 0.500 0.500 0.345
4 Cs 0.500 0.500 0.655
5 Tm 0.000 0.000 0.500
6 Tm 0.500 0.500 0.000
7 H 0.000 0.000 0.364
8 H 0.000 0.000 0.636
9 H 0.000 0.500 0.000
10 H 0.000 0.500 0.500
11 H 0.500 0.000 0.000
12 H 0.500 0.000 0.500
13 H 0.500 0.500 0.136
14 H 0.500 0.500 0.864

Summary:
E_tot: -3.02 eV per atom
calculated volume: 307 Å³/cell
DOS at the Fermi energy: 0.36 states/eV/atom
total magnetic moment: 0.0 μB/cell

***

Computed, not measured: a geometry-optimized Be2BrN structure at the PBE level of DFT.

Unit cell a=5.667 b=5.667 c=5.667 alpha=90.00 beta=90.00 gamma=90.00
Fractional positions:
1 Be 0.250 0.250 0.250
2 Be 0.250 0.250 0.750
3 Be 0.250 0.750 0.250
4 Be 0.250 0.750 0.750
5 Be 0.750 0.250 0.250
6 Be 0.750 0.250 0.750
7 Be 0.750 0.750 0.250
8 Be 0.750 0.750 0.750
9 Br 0.000 0.000 0.000
10 Br 0.000 0.500 0.500
11 Br 0.500 0.000 0.500
12 Br 0.500 0.500 0.000
13 N 0.000 0.000 0.500
14 N 0.000 0.500 0.000
15 N 0.500 0.000 0.000
16 N 0.500 0.500 0.500

Summary:
ΔE to the lowest computed polymorph: 815 kJ/mol of formula units
calculated volume: 182 Å³/cell
DOS at the Fermi energy: 0.34 states/eV/atom
raw formation energy: 1.318 eV/atom
total magnetic moment: 0.0 μB/cell

***

Computed, not measured: a geometry-optimized PuPa4N5 structure at the PBE level of DFT.

Unit cell a=6.062 b=6.062 c=6.062 alpha=99.60 beta=99.60 gamma=131.79
Fractional positions:
1 Pu 0.000 0.000 0.000
2 Pa 0.201 0.601 0.803
3 Pa 0.399 0.201 0.600
4 Pa 0.601 0.799 0.400
5 Pa 0.799 0.399 0.197
6 N 0.101 0.305 0.406
7 N 0.305 0.899 0.204
8 N 0.500 0.500 0.000
9 N 0.695 0.101 0.796
10 N 0.899 0.695 0.594

Summary:
calculated volume: 152 Å³/cell
DOS at the Fermi energy: 0.97 states/eV/atom
raw formation energy: -1.575 eV/atom
total magnetic moment: 4.6 μB/cell

***

Computed, not measured: a geometry-optimized LiNiHg2 structure at the PBE level of DFT.

Unit cell a=6.324 b=6.351 c=3.280 alpha=90.00 beta=90.14 gamma=90.00
Fractional positions:
1 Li 0.000 0.000 0.000
2 Li 0.500 0.500 0.000
3 Ni 0.000 0.500 0.000
4 Ni 0.500 0.000 0.000
5 Hg 0.250 0.250 0.500
6 Hg 0.250 0.750 0.500
7 Hg 0.750 0.250 0.500
8 Hg 0.750 0.750 0.500

Summary:
calculated volume: 132 Å³/cell
DOS at the Fermi energy: 0.52 states/eV/atom
energy of formation from the pure elements: -0.080 eV/atom
total magnetic moment: 0.0 μB/cell

***

Computed, not measured: a geometry-optimized Li2TlGe structure at the PBE level of DFT.

Unit cell a=4.267 b=4.267 c=4.119 alpha=90.00 beta=90.00 gamma=90.00
Fractional positions:
1 Li 0.000 0.500 0.000
2 Li 0.500 0.000 0.000
3 Tl 0.000 0.000 0.500
4 Ge 0.500 0.500 0.500

Summary:
calculated volume: 75 Å³/cell
DOS at the Fermi energy: 0.47 states/eV/atom
energy of formation from the pure elements: -0.181 eV/atom
total magnetic moment: 0.0 μB/cell

***

Computed, not measured: a geometry-optimized ZrNi3As structure at the PBE level of DFT.

Unit cell a=4.597 b=4.597 c=4.597 alpha=90.00 beta=90.00 gamma=90.00
Fractional positions:
1 Zr 0.000 0.000 0.000
2 Ni 0.000 0.000 0.500
3 Ni 0.000 0.500 0.000
4 Ni 0.500 0.000 0.000
5 As 0.500 0.500 0.500

Summary:
ΔE to the lowest computed polymorph: 543 kJ/mol of formula units
calculated volume: 97 Å³/cell
DOS at the Fermi energy: 0.65 states/eV/atom
energy of formation from the pure elements: 1.200 eV/atom
total magnetic moment: 0.0 μB/cell

***

Computed, not measured: a geometry-optimized KIn2Ru structure at the PBE level of DFT.

Unit cell a=3.301 b=3.301 c=8.893 alpha=90.00 beta=90.00 gamma=90.00
Fractional positions:
1 K 0.000 0.000 0.000
2 In 0.500 0.500 0.320
3 In 0.500 0.500 0.680
4 Ru 0.000 0.000 0.500

Summary:
ΔE to the lowest computed polymorph: 0 kJ/mol of formula units
calculated volume: 97 Å³/cell
DOS at the Fermi energy: 0.91 states/eV/atom
energy of formation from the pure elements: 0.103 eV/atom
total magnetic moment: 0.0 μB/cell

***

Computed, not measured: a geometry-optimized ZnTeCl2 structure at the PBE level of DFT.

Unit cell a=3.128 b=3.128 c=11.321 alpha=90.00 beta=90.00 gamma=90.00
Fractional positions:
1 Zn 0.000 0.000 0.000
2 Te 0.000 0.000 0.500
3 Cl 0.500 0.500 0.134
4 Cl 0.500 0.500 0.866

Summary:
ΔE to the lowest computed polymorph: 102 kJ/mol of formula units
calculated volume: 111 Å³/cell
DOS at the Fermi energy: 0.19 states/eV/atom
raw formation energy: -0.358 eV/atom
total magnetic moment: 0.0 μB/cell

***

Computed, not measured: a geometry-optimized NaAlAg2 structure at the PBE level of DFT.

Unit cell a=3.160 b=3.160 c=7.737 alpha=90.00 beta=90.00 gamma=90.00
Fractional positions:
1 Na 0.000 0.000 0.000
2 Al 0.000 0.000 0.500
3 Ag 0.500 0.500 0.296
4 Ag 0.500 0.500 0.704

Summary:
calculated volume: 77 Å³/cell
DOS at the Fermi energy: 0.28 states/eV/atom
energy of formation from the pure elements: -0.035 eV/atom
total magnetic moment: 0.0 μB/cell

***

Computed, not measured: a geometry-optimized ErZrAgPb structure at the PBE level of DFT.

Unit cell a=7.218 b=7.218 c=7.218 alpha=90.00 beta=90.00 gamma=90.00
Fractional positions:
1 Er 0.000 0.000 0.000
2 Er 0.000 0.500 0.500
3 Er 0.500 0.000 0.500
4 Er 0.500 0.500 0.000
5 Zr 0.000 0.000 0.500
6 Zr 0.000 0.500 0.000
7 Zr 0.500 0.000 0.000
8 Zr 0.500 0.500 0.500
9 Ag 0.250 0.250 0.750
10 Ag 0.250 0.750 0.250
11 Ag 0.750 0.250 0.250
12 Ag 0.750 0.750 0.750
13 Pb 0.250 0.250 0.250
14 Pb 0.250 0.750 0.750
15 Pb 0.750 0.250 0.750
16 Pb 0.750 0.750 0.250

Summary:
calculated volume: 376 Å³/cell
DOS at the Fermi energy: 0.79 states/eV/atom
energy of formation from the pure elements: -0.179 eV/atom
total magnetic moment: 0.0 μB/cell

***

Computed, not measured: a geometry-optimized BaVCoRu2 structure at the PBE level of DFT.

Unit cell a=4.920 b=4.920 c=4.614 alpha=90.00 beta=90.00 gamma=90.00
Fractional positions:
1 Ba 0.000 0.000 0.000
2 V 0.500 0.500 0.500
3 Co 0.000 0.000 0.500
4 Ru 0.000 0.500 0.000
5 Ru 0.500 0.000 0.000

Summary:
calculated volume: 112 Å³/cell
DOS at the Fermi energy: 2.46 states/eV/atom
energy of formation from the pure elements: 2.789 eV/atom
total magnetic moment: 1.0 μB/cell

***

Computed, not measured: a geometry-optimized Sr2Li2Ac3In4 structure at the PBE level of DFT.

Unit cell a=5.359 b=5.359 c=15.402 alpha=90.00 beta=90.00 gamma=120.00
Fractional positions:
1 Sr 0.333 0.667 0.078
2 Sr 0.667 0.333 0.922
3 Li 0.333 0.667 0.627
4 Li 0.667 0.333 0.373
5 Ac 0.000 0.000 0.260
6 Ac 0.000 0.000 0.500
7 Ac 0.000 0.000 0.740
8 In 0.333 0.667 0.380
9 In 0.333 0.667 0.836
10 In 0.667 0.333 0.164
11 In 0.667 0.333 0.620

Summary:
calculated volume: 383 Å³/cell
DOS at the Fermi energy: 1.26 states/eV/atom
energy of formation from the pure elements: -0.239 eV/atom
total magnetic moment: 0.0 μB/cell

***

Computed, not measured: a geometry-optimized NbRe2N structure at the PBE level of DFT.

Unit cell a=6.934 b=6.934 c=4.655 alpha=90.00 beta=90.00 gamma=90.00
Fractional positions:
1 Nb 0.000 0.000 0.000
2 Nb 0.000 0.500 0.250
3 Nb 0.500 0.000 0.750
4 Nb 0.500 0.500 0.500
5 Re 0.140 0.250 0.625
6 Re 0.250 0.640 0.875
7 Re 0.250 0.860 0.375
8 Re 0.360 0.250 0.125
9 Re 0.640 0.750 0.125
10 Re 0.750 0.140 0.375
11 Re 0.750 0.360 0.875
12 Re 0.860 0.750 0.625
13 N 0.000 0.000 0.500
14 N 0.000 0.500 0.750
15 N 0.500 0.000 0.250
16 N 0.500 0.500 0.000

Summary:
calculated volume: 224 Å³/cell
DOS at the Fermi energy: 1.01 states/eV/atom
raw formation energy: 0.162 eV/atom
total magnetic moment: 0.0 μB/cell